Compound: Ca4Ta2O9
Source: Alexandria
Functional: SCAN
Structure: PBEsol geometry

Calculated values
Relative energy among the computed polymorphs: 0 meV/atom
Total DFT energy (no corrections): -18.527 eV per atom
ρ: 5.83 g cm⁻³
E_form (uncorrected): -3.33 eV/atom

```
data_Ca4Ta2O9
_cell_length_a 9.783
_cell_length_b 5.502
_cell_length_c 17.008
_cell_angle_alpha 90.00
_cell_angle_beta 124.05
_cell_angle_gamma 90.00
_symmetry_space_group_name_H-M 'P 1 21/c 1'
_symmetry_Int_Tables_number 14
loop_
_symmetry_equiv_pos_as_xyz
'x,y,z'
'-x,-y,-z'
'-x,y+1/2,-z+1/2'
'x,-y+1/2,z+1/2'
loop_
_atom_site_label
_atom_site_fract_x
_atom_site_fract_y
_atom_site_fract_z
Ca1 0.000 0.000 0.000
Ca2 0.047 0.021 0.395
Ca3 0.286 0.503 0.771
Ca4 0.377 0.019 0.072
Ca5 0.500 0.000 0.500
Ta1 0.174 0.509 0.336
Ta2 0.332 0.510 0.165
O1 0.046 0.698 0.750
O2 0.124 0.618 0.425
O3 0.173 0.171 0.552
O4 0.197 0.703 0.630
O5 0.223 0.093 0.735
O6 0.264 0.210 0.404
O7 0.379 0.680 0.398
O8 0.444 0.620 0.107
O9 0.480 0.208 0.218
```